The following is a PBE calculation of a geometry-optimized DyHoPd2 structure, from the Open Quantum Materials Database.

```
data_DyHoPd2
_chemical_formula_sum 'Dy2 Ho2 Pd4'
_symmetry_space_group_name_H-M 'P m c 21'
_symmetry_Int_Tables_number 26
_cell_length_a 4.4745
_cell_length_b 5.6620
_cell_length_c 6.8761
_cell_angle_alpha 90.00
_cell_angle_beta 90.00
_cell_angle_gamma 90.00
loop_
_symmetry_equiv_pos_as_xyz
'x,y,z'
'-x,-y,z+1/2'
'-x,y,z'
'x,-y,z+1/2'
loop_
_atom_site_label
_atom_site_type_symbol
_atom_site_fract_x
_atom_site_fract_y
_atom_site_fract_z
_atom_site_occupancy
Dy1 Dy 0.0000 0.1085 0.0000 1
Ho1 Ho 0.5000 0.3916 0.3622 1
Pd1 Pd 0.0000 0.4051 0.6383 1
Pd2 Pd 0.5000 0.0963 0.7236 1
```

The following is a PBE calculation of a geometry-optimized DyHoPd2 structure, from the Open Quantum Materials Database.

```
data_DyHoPd2
_chemical_formula_sum 'Dy2 Ho2 Pd4'
_symmetry_space_group_name_H-M 'P 1 21/m 1'
_symmetry_Int_Tables_number 11
_cell_length_a 5.6549
_cell_length_b 4.4966
_cell_length_c 6.8631
_cell_angle_alpha 90.00
_cell_angle_beta 90.20
_cell_angle_gamma 90.00
loop_
_symmetry_equiv_pos_as_xyz
'x,y,z'
'-x,-y,-z'
'-x,y+1/2,-z'
'x,-y+1/2,z'
loop_
_atom_site_label
_atom_site_type_symbol
_atom_site_fract_x
_atom_site_fract_y
_atom_site_fract_z
_atom_site_occupancy
Dy1 Dy 0.1431 0.2500 0.1825 1
Ho1 Ho 0.3577 0.2500 0.6820 1
Pd1 Pd 0.1568 0.7500 0.4603 1
Pd2 Pd 0.3447 0.7500 0.9574 1
```

| no. | total DFT energy (no corrections) (eV for the cell shown) | formation energy (eV/atom) | total magnetic moment (μB per cell) |
| --- | --- | --- | --- |
| 1 | -46.51 | -0.9313 | 0.019 |
| 2 | -46.52 | -0.9327 | 0.021 |